Record 1
The following is a GGA-PBE calculation of an optimized crystal structure of BaNi2Au, from the Alexandria database.

Lattice parameters (Å, degrees): 7.6457 4.4104 5.9206 90.00 115.61 90.00
Last column: nearest neighbours and their distance in Å.
Space group C2/m (No. 12)
One atom of each set of equivalent atoms:
Ba: 0.0000 0.0000 0.0000  2 Ni 2.90
Ni: 0.1812 0.0000 0.5434  3 Au 2.56, 3 Ni 2.59
Au: 0.0000 0.5000 0.5000  6 Ni 2.56

Properties
Excess energy over the best structure of this formula in the dataset: 0.0 meV per atom
Size of the total moment: 0.08 μB per formula unit
Formation energy from the elements: -0.19 eV per atom


Record 2
The following is a GGA-PBE calculation of an optimized crystal structure of BaYB2O6, from the Alexandria database.

Lattice parameters (Å, degrees): 8.4266 10.0423 6.9827 90.00 110.17 90.00
Last column: nearest neighbours and their distance in Å.
Space group C2/c (No. 15)
One atom of each set of equivalent atoms:
Ba: 0.0000 0.1370 0.2500  8 O 2.71-2.92
Y: 0.0000 0.4115 0.7500  8 O 2.29-2.53
B: 0.2400 0.3743 0.2514  3 O 1.37-1.39
O: 0.0838 0.3839 0.0968  1 B 1.39
O: 0.1740 0.2440 0.7114  1 B 1.37
O: 0.2089 0.0167 0.6238  1 B 1.37

Properties
Size of the total moment: 0.86 μB per formula unit
Formation energy without anion corrections: -27.24 eV per formula unit